! Li2InNi | Alexandria | GGA-PBEsol | optimized geometry; values from VASP
! ΔH_f (0 K), meV/atom: -146
! M_tot, μB/f.u.: 0.0
! Space-group type: No. 123
! E_tot, eV per cell: -13.66
&SYSTEM
  ibrav = 0, nat = 4, ntyp = 3
/
ATOMIC_SPECIES
Li 6.94 Li.upf
In 114.82 In.upf
Ni 58.69 Ni.upf
CELL_PARAMETERS angstrom
3.682 0.000 0.000
0.000 3.682 0.000
0.000 0.000 4.326
ATOMIC_POSITIONS crystal
Li 0.000 0.500 0.000
Li 0.500 0.000 0.000
In 0.000 0.000 0.500
Ni 0.500 0.500 0.500

! Li2InNi | Alexandria | GGA-PBEsol | optimized geometry; values from VASP
! ΔH_f (0 K), meV/atom: -158
! M_tot, μB/f.u.: 0.0
! Space-group type: No. 71
! E_tot, eV per cell: -27.41
&SYSTEM
  ibrav = 0, nat = 8, ntyp = 3
/
ATOMIC_SPECIES
Li 6.94 Li.upf
In 114.82 In.upf
Ni 58.69 Ni.upf
CELL_PARAMETERS angstrom
3.095 0.000 0.000
0.000 4.234 0.000
0.000 0.000 8.932
ATOMIC_POSITIONS crystal
Li 0.000 0.000 0.229
Li 0.000 0.000 0.771
Li 0.500 0.500 0.271
Li 0.500 0.500 0.729
In 0.000 0.500 0.000
In 0.500 0.000 0.500
Ni 0.000 0.500 0.500
Ni 0.500 0.000 0.000

! RbLi2InNi | Alexandria | GGA-PBEsol | optimized geometry; values from VASP
! ΔH_f (0 K), meV/atom: 116
! M_tot, μB/f.u.: 0.0
! Space-group type: No. 123
! E_tot, eV per cell: -13.52
&SYSTEM
  ibrav = 0, nat = 5, ntyp = 4
/
ATOMIC_SPECIES
Rb 85.47 Rb.upf
Li 6.94 Li.upf
In 114.82 In.upf
Ni 58.69 Ni.upf
CELL_PARAMETERS angstrom
5.093 0.000 0.000
0.000 5.093 0.000
0.000 0.000 4.889
ATOMIC_POSITIONS crystal
Rb 0.000 0.000 0.000
Li 0.000 0.500 0.500
Li 0.500 0.000 0.500
In 0.500 0.500 0.000
Ni 0.500 0.500 0.500

! LiInNi2Sn | Alexandria | GGA-PBEsol | optimized geometry; values from VASP
! ΔH_f (0 K), meV/atom: 884
! M_tot, μB/f.u.: 0.1
! Space-group type: No. 123
! E_tot, eV per cell: -17.11
&SYSTEM
  ibrav = 0, nat = 5, ntyp = 4
/
ATOMIC_SPECIES
Li 6.94 Li.upf
In 114.82 In.upf
Ni 58.69 Ni.upf
Sn 118.71 Sn.upf
CELL_PARAMETERS angstrom
4.725 0.000 0.000
0.000 4.725 0.000
0.000 0.000 5.364
ATOMIC_POSITIONS crystal
Li 0.000 0.000 0.000
In 0.500 0.500 0.500
Ni 0.000 0.500 0.500
Ni 0.500 0.000 0.500
Sn 0.500 0.500 0.000

! Li3InO3 | Alexandria | GGA-PBEsol | optimized geometry; values from VASP
! Formation energy from raw total energies, meV/atom: -1786
! M_tot, μB/f.u.: 0.0
! Space-group type: No. 163
! E_tot, eV per cell: -148.52
&SYSTEM
  ibrav = 0, nat = 28, ntyp = 3
/
ATOMIC_SPECIES
Li 6.94 Li.upf
In 114.82 In.upf
O 16.00 O.upf
CELL_PARAMETERS angstrom
5.628 0.000 0.000
-2.814 4.874 0.000
0.000 0.000 10.272
ATOMIC_POSITIONS crystal
Li 0.054 0.371 0.429
Li 0.054 0.683 0.071
Li 0.317 0.371 0.071
Li 0.317 0.946 0.429
Li 0.371 0.054 0.929
Li 0.371 0.317 0.571
Li 0.629 0.683 0.429
Li 0.629 0.946 0.071
Li 0.683 0.054 0.571
Li 0.683 0.629 0.929
Li 0.946 0.317 0.929
Li 0.946 0.629 0.571
In 0.000 0.000 0.250
In 0.000 0.000 0.750
In 0.333 0.667 0.750
In 0.667 0.333 0.250
O 0.041 0.338 0.622
O 0.041 0.703 0.878
O 0.297 0.338 0.878
O 0.297 0.959 0.622
O 0.338 0.041 0.122
O 0.338 0.297 0.378
O 0.662 0.703 0.622
O 0.662 0.959 0.878
O 0.703 0.041 0.378
O 0.703 0.662 0.122
O 0.959 0.297 0.122
O 0.959 0.662 0.378

! Li5InO4 | Alexandria | GGA-PBEsol | optimized geometry; values from VASP
! Formation energy from raw total energies, meV/atom: -1750
! M_tot, μB/f.u.: 0.0
! Space-group type: No. 59
! E_tot, eV per cell: -102.63
&SYSTEM
  ibrav = 0, nat = 20, ntyp = 3
/
ATOMIC_SPECIES
Li 6.94 Li.upf
In 114.82 In.upf
O 16.00 O.upf
CELL_PARAMETERS angstrom
6.473 0.000 0.000
0.000 6.914 0.000
0.000 0.000 4.733
ATOMIC_POSITIONS crystal
Li 0.008 0.059 0.247
Li 0.008 0.441 0.247
Li 0.250 0.750 0.233
Li 0.492 0.059 0.247
Li 0.492 0.441 0.247
Li 0.508 0.559 0.753
Li 0.508 0.941 0.753
Li 0.750 0.250 0.767
Li 0.992 0.559 0.753
Li 0.992 0.941 0.753
In 0.250 0.250 0.770
In 0.750 0.750 0.230
O 0.011 0.750 0.469
O 0.250 0.502 0.006
O 0.250 0.998 0.006
O 0.489 0.750 0.469
O 0.511 0.250 0.531
O 0.750 0.002 0.994
O 0.750 0.498 0.994
O 0.989 0.250 0.531

! Li4Sc3InSi8O24 | Alexandria | GGA-PBEsol | optimized geometry; values from VASP
! Formation energy from raw total energies, meV/atom: -2825
! M_tot, μB/f.u.: 0.0
! Space-group type: No. 1
! E_tot, eV per cell: -315.62
&SYSTEM
  ibrav = 0, nat = 40, ntyp = 5
/
ATOMIC_SPECIES
Li 6.94 Li.upf
Sc 44.96 Sc.upf
In 114.82 In.upf
Si 28.09 Si.upf
O 16.00 O.upf
CELL_PARAMETERS angstrom
5.374 0.000 0.000
1.697 6.434 0.000
1.980 -0.231 12.867
ATOMIC_POSITIONS crystal
Li 0.000 0.000 0.000
Li 0.242 0.516 0.257
Li 0.497 0.008 0.503
Li 0.743 0.515 0.758
Sc 0.067 0.868 0.434
Sc 0.174 0.652 0.826
Sc 0.568 0.865 0.932
In 0.673 0.655 0.327
Si 0.043 0.372 0.486
Si 0.201 0.145 0.773
Si 0.286 0.973 0.185
Si 0.455 0.546 0.574
Si 0.541 0.371 0.985
Si 0.701 0.146 0.271
Si 0.788 0.972 0.686
Si 0.955 0.544 0.072
O 0.003 0.104 0.696
O 0.017 0.555 0.399
O 0.083 0.380 0.818
O 0.161 0.138 0.442
O 0.233 0.962 0.861
O 0.240 0.414 0.564
O 0.248 0.387 0.048
O 0.306 0.798 0.277
O 0.327 0.884 0.067
O 0.413 0.635 0.691
O 0.424 0.726 0.484
O 0.492 0.125 0.707
O 0.511 0.555 0.898
O 0.512 0.095 0.193
O 0.566 0.377 0.317
O 0.664 0.136 0.941
O 0.732 0.967 0.362
O 0.733 0.417 0.064
O 0.750 0.393 0.551
O 0.816 0.795 0.777
O 0.831 0.882 0.569
O 0.926 0.720 0.980
O 0.927 0.636 0.187
O 0.994 0.132 0.208

! Li4ScIn3Si8O24 | Alexandria | GGA-PBEsol | optimized geometry; values from VASP
! Formation energy from raw total energies, meV/atom: -2570
! M_tot, μB/f.u.: 0.0
! Space-group type: No. 3
! E_tot, eV per cell: -298.16
&SYSTEM
  ibrav = 0, nat = 40, ntyp = 5
/
ATOMIC_SPECIES
Li 6.94 Li.upf
Sc 44.96 Sc.upf
In 114.82 In.upf
Si 28.09 Si.upf
O 16.00 O.upf
CELL_PARAMETERS angstrom
5.393 0.000 0.000
0.000 9.085 0.000
-1.985 0.000 9.181
ATOMIC_POSITIONS crystal
Li 0.000 0.000 0.000
Li 0.000 0.014 0.500
Li 0.500 0.494 0.500
Li 0.500 0.511 0.000
Sc 0.500 0.146 0.500
In 0.000 0.361 0.500
In 0.000 0.648 0.000
In 0.500 0.863 0.000
Si 0.227 0.341 0.199
Si 0.228 0.670 0.697
Si 0.272 0.842 0.303
Si 0.274 0.171 0.802
Si 0.726 0.171 0.198
Si 0.728 0.842 0.697
Si 0.772 0.670 0.303
Si 0.773 0.341 0.801
O 0.058 0.739 0.356
O 0.063 0.277 0.854
O 0.207 0.841 0.123
O 0.216 0.171 0.622
O 0.246 0.510 0.627
O 0.248 0.501 0.129
O 0.251 0.011 0.872
O 0.267 0.002 0.376
O 0.292 0.672 0.878
O 0.294 0.335 0.379
O 0.437 0.236 0.143
O 0.441 0.774 0.645
O 0.559 0.774 0.355
O 0.563 0.236 0.857
O 0.706 0.335 0.621
O 0.708 0.672 0.122
O 0.733 0.002 0.624
O 0.749 0.011 0.128
O 0.752 0.501 0.871
O 0.754 0.510 0.373
O 0.784 0.171 0.378
O 0.793 0.841 0.877
O 0.937 0.277 0.146
O 0.942 0.739 0.644

! LiInW2O8 | Alexandria | GGA-PBEsol | optimized geometry; values from VASP
! Formation energy from raw total energies, meV/atom: -2076
! M_tot, μB/f.u.: 0.0
! Space-group type: No. 15
! E_tot, eV per cell: -198.93
&SYSTEM
  ibrav = 0, nat = 24, ntyp = 4
/
ATOMIC_SPECIES
Li 6.94 Li.upf
In 114.82 In.upf
W 183.84 W.upf
O 16.00 O.upf
CELL_PARAMETERS angstrom
4.794 -5.817 0.000
4.794 5.817 0.000
-0.092 0.000 4.954
ATOMIC_POSITIONS crystal
Li 0.153 0.847 0.750
Li 0.847 0.153 0.250
In 0.336 0.664 0.250
In 0.664 0.336 0.750
W 0.153 0.331 0.748
W 0.331 0.153 0.248
W 0.669 0.847 0.752
W 0.847 0.669 0.252
O 0.068 0.691 0.401
O 0.094 0.193 0.058
O 0.189 0.556 0.895
O 0.193 0.094 0.558
O 0.304 0.407 0.436
O 0.309 0.932 0.099
O 0.407 0.304 0.936
O 0.444 0.811 0.605
O 0.556 0.189 0.395
O 0.593 0.696 0.064
O 0.691 0.068 0.901
O 0.696 0.593 0.564
O 0.807 0.906 0.442
O 0.811 0.444 0.105
O 0.906 0.807 0.942
O 0.932 0.309 0.599

! LiIn2Os2 | Alexandria | GGA-PBEsol | optimized geometry; values from VASP
! ΔH_f (0 K), meV/atom: 632
! M_tot, μB/f.u.: 0.0
! Space-group type: No. 139
! E_tot, eV per cell: -58.40
&SYSTEM
  ibrav = 0, nat = 10, ntyp = 3
/
ATOMIC_SPECIES
Li 6.94 Li.upf
In 114.82 In.upf
Os 190.23 Os.upf
CELL_PARAMETERS angstrom
4.912 0.000 0.000
0.000 4.912 0.000
0.000 0.000 8.729
ATOMIC_POSITIONS crystal
Li 0.000 0.000 0.000
Li 0.500 0.500 0.500
In 0.000 0.500 0.250
In 0.000 0.500 0.750
In 0.500 0.000 0.250
In 0.500 0.000 0.750
Os 0.000 0.000 0.371
Os 0.000 0.000 0.629
Os 0.500 0.500 0.129
Os 0.500 0.500 0.871

! Li2InP | Alexandria | GGA-PBEsol | optimized geometry; values from VASP
! ΔH_f (0 K), meV/atom: -356
! M_tot, μB/f.u.: 0.0
! Space-group type: No. 47
! E_tot, eV per cell: -14.13
&SYSTEM
  ibrav = 0, nat = 4, ntyp = 3
/
ATOMIC_SPECIES
Li 6.94 Li.upf
In 114.82 In.upf
P 30.97 P.upf
CELL_PARAMETERS angstrom
2.866 0.000 0.000
0.000 3.832 0.000
0.000 0.000 5.886
ATOMIC_POSITIONS crystal
Li 0.000 0.000 0.206
Li 0.000 0.000 0.794
In 0.500 0.500 0.500
P 0.500 0.500 0.000

! Li2InP | Alexandria | GGA-PBEsol | optimized geometry; values from VASP
! ΔH_f (0 K), meV/atom: -282
! M_tot, μB/f.u.: 0.0
! Space-group type: No. 65
! E_tot, eV per cell: -27.67
&SYSTEM
  ibrav = 0, nat = 8, ntyp = 3
/
ATOMIC_SPECIES
Li 6.94 Li.upf
In 114.82 In.upf
P 30.97 P.upf
CELL_PARAMETERS angstrom
5.792 0.000 0.000
0.000 8.056 0.000
0.000 0.000 2.805
ATOMIC_POSITIONS crystal
Li 0.250 0.250 0.000
Li 0.250 0.750 0.000
Li 0.750 0.250 0.000
Li 0.750 0.750 0.000
In 0.000 0.000 0.500
In 0.500 0.500 0.500
P 0.000 0.500 0.500
P 0.500 0.000 0.500